Record 1
{
  "formula": "CaY2Te4",
  "functional": "PBE",
  "state": "optimized geometry",
  "lattice_angstrom": [[-6.974, -5.472, 1.331], [-0.065, -8.104, -3.473], [0.757, -7.024, 5.275]],
  "species": ["Ca", "Ca", "Te", "Te", "Te", "Te", "Te", "Te", "Te", "Te", "Y", "Y", "Y", "Y"],
  "fractional_positions": [[0.000, 0.500, 0.000], [0.500, 0.500, 0.000], [0.754, 0.753, 0.253], [0.761, 0.247, 0.747], [0.239, 0.753, 0.253], [0.246, 0.247, 0.747], [0.254, 0.240, 0.253], [0.746, 0.760, 0.747], [0.254, 0.753, 0.740], [0.746, 0.247, 0.260], [0.000, 0.000, 0.500], [0.500, 0.000, 0.500], [0.000, 0.000, 0.000], [0.000, 0.500, 0.500]],
  "total_energy_ev_per_atom": -5.413
}

***

Record 2
{
  "formula": "IrSI2N",
  "functional": "PBE",
  "state": "optimized geometry",
  "lattice_angstrom": [[5.569, 0.000, 0.000], [0.000, 5.569, 0.000], [0.000, 0.000, 3.304]],
  "species": ["I", "I", "N", "S", "Ir"],
  "fractional_positions": [[0.500, 0.000, 0.000], [0.000, 0.500, 0.000], [0.000, 0.000, 0.500], [0.000, 0.000, 0.000], [0.500, 0.500, 0.500]],
  "total_energy_ev_per_atom": -3.431,
  "dos_at_fermi_per_ev_atom": 0.823
}